Entry 1:
PmDyAl2 | GGA-PBE | optimized geometry

Cell: 3.6499 3.6499 7.2826 Å, 90.00 90.00 90.00°
Closest atoms and distances in Å follow each position.
Space group P4/mmm (No. 123)
One atom of each set of equivalent atoms:
1 Pm 0.0000 0.0000 0.0000  8 Al 3.21
2 Dy 0.0000 0.0000 0.5000  8 Al 3.11
3 Al 0.5000 0.5000 0.2616  4 Dy 3.11, 4 Pm 3.21, 1 Al 3.47

Distance to the lowest polymorph of the same formula (eV/atom): 0.000
DOS at the Fermi energy (states/eV/f.u.): 1.3
Energy relative to the elements (eV/atom): -0.39
Magnetic moment (μB/cell): 0.00
ρ (g/cm³): 6.2

=====

Entry 2:
Pm4Dy15Al | GGA-PBE | optimized geometry

Cell: 4.9727 4.9727 25.1570 Å, 90.00 90.00 90.00°
Closest atoms and distances in Å follow each position.
Space group P4/mmm (No. 123)
One atom of each set of equivalent atoms:
1 Pm 0.0000 0.0000 0.1015  12 Dy 3.52-3.57
2 Pm 0.0000 0.0000 0.3042  12 Dy 3.52-3.59
3 Dy 0.0000 0.5000 0.0000  8 Dy 3.52-3.58, 4 Pm 3.56
4 Dy 0.0000 0.5000 0.2034  8 Dy 3.52-3.60, 4 Pm 3.55-3.57
5 Dy 0.0000 0.5000 0.4073  8 Dy 3.41-3.54, 2 Al 3.41, 2 Pm 3.59
6 Dy 0.5000 0.5000 0.1021  4 Pm 3.52, 8 Dy 3.56-3.58
7 Dy 0.5000 0.5000 0.3069  4 Pm 3.52, 8 Dy 3.54-3.60
8 Dy 0.5000 0.5000 0.5000  8 Dy 3.41, 4 Al 3.52
9 Al 0.0000 0.0000 0.5000  12 Dy 3.41-3.52

DOS at the Fermi energy (states/eV/f.u.): 24.3
Energy relative to the elements (eV/atom): -0.01
Magnetic moment (μB/cell): 0.00
ρ (g/cm³): 8.1

=====

Entry 3:
PmDy3Al2 | GGA-PBE | optimized geometry

Cell: 4.7936 14.7956 4.4474 Å, 90.00 90.00 90.00°
Closest atoms and distances in Å follow each position.
Space group Cmmm (No. 65)
One atom of each set of equivalent atoms:
1 Pm 0.0000 0.0000 0.0000  8 Dy 3.27-3.41, 4 Al 3.39
2 Dy 0.0000 0.1745 0.5000  6 Al 3.27-3.29, 4 Dy 3.28-3.52, 2 Pm 3.41
3 Dy 0.0000 0.5000 0.5000  4 Al 3.27, 4 Pm 3.27, 4 Dy 3.52
4 Al 0.0000 0.3380 0.0000  8 Dy 3.27-3.29, 2 Pm 3.39, 2 Al 3.54

Distance to the lowest polymorph of the same formula (eV/atom): 0.075
DOS at the Fermi energy (states/eV/f.u.): 5.6
Energy relative to the elements (eV/atom): -0.18
Magnetic moment (μB/cell): 0.00
ρ (g/cm³): 7.2

=====

Entry 4:
Pm2DyAl | GGA-PBE | optimized geometry

Cell: 7.6838 7.6838 7.6838 Å, 90.00 90.00 90.00°
Closest atoms and distances in Å follow each position.
Space group Fm-3m (No. 225)
One atom of each set of equivalent atoms:
1 Pm 0.2500 0.2500 0.2500  4 Al 3.33, 4 Dy 3.33
2 Dy 0.0000 0.0000 0.0000  8 Pm 3.33
3 Al 0.0000 0.0000 0.5000  8 Pm 3.33

Distance to the lowest polymorph of the same formula (eV/atom): 0.129
DOS at the Fermi energy (states/eV/f.u.): 6.7
Energy relative to the elements (eV/atom): -0.06
Magnetic moment (μB/cell): 0.00
ρ (g/cm³): 7.0

=====

Entry 5:
Pm2DyAl | GGA-PBE | optimized geometry

Cell: 3.6548 3.6548 31.8238 Å, 90.00 90.00 120.00°
Closest atoms and distances in Å follow each position.
Space group R3m (No. 160, hexagonal axes)
One atom of each set of equivalent atoms:
1 Pm 0.0000 0.0000 0.0000  3 Al 3.15
2 Pm 0.0000 0.0000 0.1873  3 Al 3.13
3 Dy 0.0000 0.0000 0.4271  6 Pm 3.65, 6 Dy 3.65
4 Al 0.0000 0.0000 0.5933  6 Pm 3.13-3.15

Distance to the lowest polymorph of the same formula (eV/atom): 0.156
DOS at the Fermi energy (states/eV/f.u.): 4.8
Energy relative to the elements (eV/atom): -0.03
Magnetic moment (μB/cell): 1.73
ρ (g/cm³): 6.5

=====

Entry 6:
PmDy6Al | GGA-PBE | optimized geometry

Cell: 4.8624 4.8624 9.9884 Å, 90.00 90.00 90.00°
Closest atoms and distances in Å follow each position.
Space group P4/mmm (No. 123)
One atom of each set of equivalent atoms:
1 Pm 0.0000 0.0000 0.0000  12 Dy 3.44-3.58
2 Dy 0.0000 0.5000 0.2631  8 Dy 3.39-3.58, 2 Al 3.39, 2 Pm 3.58
3 Dy 0.5000 0.5000 0.0000  4 Pm 3.44, 8 Dy 3.58
4 Dy 0.5000 0.5000 0.5000  8 Dy 3.39, 4 Al 3.44
5 Al 0.0000 0.0000 0.5000  12 Dy 3.39-3.44

DOS at the Fermi energy (states/eV/f.u.): 9.0
Energy relative to the elements (eV/atom): -0.06
Magnetic moment (μB/cell): 0.00
ρ (g/cm³): 8.1

=====

Entry 7:
Pm2DyAl | GGA-PBE | optimized geometry

Cell: 5.3368 6.9759 12.1308 Å, 90.00 90.00 90.00°
Closest atoms and distances in Å follow each position.
Space group Amm2 (No. 38)
One atom of each set of equivalent atoms:
1 Pm 0.0000 0.0000 0.0000  4 Al 3.28-3.49, 2 Pm 3.28, 4 Dy 3.43
2 Pm 0.0000 0.2333 0.2346  4 Pm 3.25-3.43, 4 Al 3.27-3.55, 2 Dy 3.41
3 Pm 0.5000 0.0000 0.6456  2 Dy 3.29, 4 Al 3.30-3.49, 4 Pm 3.43
4 Dy 0.5000 0.2347 0.4100  4 Al 3.26-3.52, 1 Dy 3.27, 5 Pm 3.29-3.43
5 Al 0.0000 0.0000 0.4858  4 Dy 3.26, 8 Pm 3.30-3.55
6 Al 0.5000 0.0000 0.1566  8 Pm 3.27-3.49, 4 Dy 3.48-3.52

Distance to the lowest polymorph of the same formula (eV/atom): 0.000
DOS at the Fermi energy (states/eV/f.u.): 3.9
Energy relative to the elements (eV/atom): -0.19
Magnetic moment (μB/cell): 0.00
ρ (g/cm³): 7.1

=====

Entry 8:
Pm4DyAl4 | GGA-PBE | optimized geometry

Cell: 8.8648 8.8648 6.0249 Å, 90.00 90.00 90.00°
Closest atoms and distances in Å follow each position.
Space group P4_2/n (No. 86, origin choice 2)
One atom of each set of equivalent atoms:
1 Pm 0.0788 0.8237 0.1262  1 Dy 3.08, 4 Al 3.14-3.37, 1 Pm 3.31
2 Dy 0.2500 0.2500 0.7500  4 Al 3.03, 4 Pm 3.08
3 Al 0.0611 0.1583 0.3541  2 Al 2.92, 1 Dy 3.03, 2 Pm 3.14-3.15

DOS at the Fermi energy (states/eV/f.u.): 7.9
Energy relative to the elements (eV/atom): -0.16
Magnetic moment (μB/cell): 0.00
ρ (g/cm³): 6.0

=====

Entry 9:
Pm2Dy4Al | GGA-PBE | optimized geometry

Cell: 3.6128 3.6128 57.4658 Å, 90.00 90.00 120.00°
Closest atoms and distances in Å follow each position.
Space group R-3m (No. 166, hexagonal axes)
One atom of each set of equivalent atoms:
1 Pm 0.0000 0.0000 0.1933  3 Dy 3.57, 9 Pm 3.61-3.70
2 Dy 0.0000 0.0000 0.0896  3 Pm 3.57, 9 Dy 3.58-3.61
3 Dy 0.0000 0.0000 0.2944  3 Al 3.06
4 Al 0.0000 0.0000 0.0000  6 Dy 3.06

DOS at the Fermi energy (states/eV/f.u.): 11.0
Energy relative to the elements (eV/atom): -0.03
Magnetic moment (μB/cell): 0.09
ρ (g/cm³): 7.4

=====

Entry 10:
Pm2DyAl2 | GGA-PBE | optimized geometry

Cell: 4.9097 6.8000 8.0767 Å, 90.00 90.00 90.00°
Closest atoms and distances in Å follow each position.
Space group Immm (No. 71)
One atom of each set of equivalent atoms:
1 Pm 0.0000 0.0000 0.1976  1 Pm 3.19, 6 Al 3.19-3.22, 2 Dy 3.46
2 Dy 0.0000 0.5000 0.0000  4 Al 3.20, 4 Pm 3.46
3 Al 0.0000 0.3024 0.5000  1 Al 2.69

Distance to the lowest polymorph of the same formula (eV/atom): 0.000
DOS at the Fermi energy (states/eV/f.u.): 4.6
Energy relative to the elements (eV/atom): -0.31
Magnetic moment (μB/cell): 0.00
ρ (g/cm³): 6.2

=====

Entry 11:
Pm3Dy2Al2 | GGA-PBE | optimized geometry

Cell: 4.7089 24.2495 3.4292 Å, 90.00 90.00 90.00°
Closest atoms and distances in Å follow each position.
Space group Cmmm (No. 65)
One atom of each set of equivalent atoms:
1 Pm 0.0000 0.0000 0.0000  4 Pm 3.27-3.43, 8 Al 3.34
2 Pm 0.0000 0.1347 0.0000  3 Pm 3.27-3.43, 4 Al 3.33, 4 Dy 3.43
3 Dy 0.0000 0.2902 0.5000  2 Dy 3.06
4 Al 0.0000 0.4322 0.5000  3 Al 3.29-3.43, 8 Pm 3.33-3.34, 1 Dy 3.44

DOS at the Fermi energy (states/eV/f.u.): 7.2
Energy relative to the elements (eV/atom): -0.06
Magnetic moment (μB/cell): 0.00
ρ (g/cm³): 6.9

=====

Entry 12:
PmDy2Al6 | GGA-PBE | optimized geometry

Cell: 7.9314 7.9314 3.5339 Å, 90.00 90.00 120.00°
Closest atoms and distances in Å follow each position.
Space group P6/mmm (No. 191)
One atom of each set of equivalent atoms:
1 Pm 0.0000 0.0000 0.0000  12 Al 3.19, 2 Pm 3.53
2 Dy 0.3333 0.6667 0.0000  12 Al 3.17, 2 Dy 3.53
3 Al 0.0000 0.3350 0.5000  3 Al 2.62-2.66

Distance to the lowest polymorph of the same formula (eV/atom): 0.000
DOS at the Fermi energy (states/eV/f.u.): 4.1
Energy relative to the elements (eV/atom): -0.49
Magnetic moment (μB/cell): 0.00
ρ (g/cm³): 5.5